[1]
The following is a PBE-GGA calculation of a relaxed LiCa3Tl2 crystal, from Alexandria via LeMat-Bulk.

Geometry as CIF:
```
data_LiCa3Tl2
_chemical_formula_sum 'Li1 Ca3 Tl2'
_cell_length_a 3.9512
_cell_length_b 3.9512
_cell_length_c 11.4479
_cell_angle_alpha 90.00
_cell_angle_beta 90.00
_cell_angle_gamma 90.00
_space_group_name_H-M_alt 'P 1'
_space_group_IT_number 1
loop_
_space_group_symop_operation_xyz
'x,y,z'
loop_
_atom_site_label
_atom_site_type_symbol
_atom_site_fract_x
_atom_site_fract_y
_atom_site_fract_z
_atom_site_occupancy
Ca1 Ca 0.0000 0.0000 0.0000 1
Ca2 Ca 0.0000 0.0000 0.6747 1
Ca3 Ca 0.0000 0.0000 0.3253 1
Tl1 Tl 0.5000 0.5000 0.1675 1
Tl2 Tl 0.5000 0.5000 0.8325 1
Li1 Li 0.5000 0.5000 0.5000 1
```

Symmetry: P4/mmm
ρ: 4.98 g cm⁻³
Excess energy over the best structure of this formula in the dataset: 39 meV per atom
Formation enthalpy at 0 K: -0.3026 eV/atom



[2]
The following is a PBE-GGA calculation of a relaxed YCu3Ge crystal, from Alexandria via LeMat-Bulk.

Geometry as CIF:
```
data_YCu3Ge
_chemical_formula_sum 'Y1 Cu3 Ge1'
_cell_length_a 4.5270
_cell_length_b 4.5270
_cell_length_c 4.5270
_cell_angle_alpha 90.00
_cell_angle_beta 90.00
_cell_angle_gamma 90.00
_space_group_name_H-M_alt 'P 1'
_space_group_IT_number 1
loop_
_space_group_symop_operation_xyz
'x,y,z'
loop_
_atom_site_label
_atom_site_type_symbol
_atom_site_fract_x
_atom_site_fract_y
_atom_site_fract_z
_atom_site_occupancy
Cu1 Cu 0.0000 0.0000 0.5000 1
Cu2 Cu 0.0000 0.5000 0.0000 1
Cu3 Cu 0.5000 0.0000 0.0000 1
Ge1 Ge 0.0000 0.0000 0.0000 1
Y1 Y 0.5000 0.5000 0.5000 1
```

Symmetry: Pm-3m
ρ: 6.30 g cm⁻³
Excess energy over the best structure of this formula in the dataset: 0 meV per atom
Formation enthalpy at 0 K: 0.0957 eV/atom



[3]
The following is a PBE-GGA calculation of a relaxed CrFe4Ge crystal, from Alexandria via LeMat-Bulk.

Geometry as CIF:
```
data_CrFe4Ge
_chemical_formula_sum 'Cr2 Fe8 Ge2'
_cell_length_a 6.1854
_cell_length_b 6.1851
_cell_length_c 6.0667
_cell_angle_alpha 120.65
_cell_angle_beta 120.65
_cell_angle_gamma 90.00
_space_group_name_H-M_alt 'P 1'
_space_group_IT_number 1
loop_
_space_group_symop_operation_xyz
'x,y,z'
loop_
_atom_site_label
_atom_site_type_symbol
_atom_site_fract_x
_atom_site_fract_y
_atom_site_fract_z
_atom_site_occupancy
Cr1 Cr 0.0000 0.0000 0.0000 1
Cr2 Cr 0.2500 0.7500 0.5000 1
Ge1 Ge 0.7500 0.2500 0.5000 1
Ge2 Ge 0.5000 0.5000 0.0000 1
Fe1 Fe 0.1133 0.3910 0.4914 1
Fe2 Fe 0.6091 0.6219 0.5086 1
Fe3 Fe 0.6409 0.1281 0.9914 1
Fe4 Fe 0.3505 0.8633 0.9914 1
Fe5 Fe 0.8995 0.8867 0.5086 1
Fe6 Fe 0.8719 0.6495 0.0086 1
Fe7 Fe 0.1367 0.3590 0.0086 1
Fe8 Fe 0.3781 0.1005 0.4914 1
```

Symmetry: I4_1/a
ρ: 7.19 g cm⁻³
Formation enthalpy at 0 K: 0.4432 eV/atom



[4]
The following is a PBE-GGA calculation of a relaxed SmScSi2Pt5 crystal, from Alexandria via LeMat-Bulk.

Geometry as CIF:
```
data_SmScSi2Pt5
_chemical_formula_sum 'Sm1 Sc1 Si2 Pt5'
_cell_length_a 4.0757
_cell_length_b 4.0757
_cell_length_c 10.8741
_cell_angle_alpha 90.00
_cell_angle_beta 90.00
_cell_angle_gamma 90.00
_space_group_name_H-M_alt 'P 1'
_space_group_IT_number 1
loop_
_space_group_symop_operation_xyz
'x,y,z'
loop_
_atom_site_label
_atom_site_type_symbol
_atom_site_fract_x
_atom_site_fract_y
_atom_site_fract_z
_atom_site_occupancy
Pt1 Pt 0.0000 0.5000 0.1743 1
Pt2 Pt 0.5000 0.0000 0.8257 1
Pt3 Pt 0.5000 0.5000 0.5000 1
Pt4 Pt 0.0000 0.5000 0.8257 1
Pt5 Pt 0.5000 0.0000 0.1743 1
Sc1 Sc 0.0000 0.0000 0.0000 1
Si1 Si 0.5000 0.5000 0.7150 1
Si2 Si 0.5000 0.5000 0.2850 1
Sm1 Sm 0.0000 0.0000 0.5000 1
```

Symmetry: P4/mmm
ρ: 11.28 g cm⁻³
E_form (uncorrected): -0.8959 eV/atom



[5]
The following is a PBE-GGA calculation of a relaxed MnMoOs3 crystal, from Alexandria via LeMat-Bulk.

Geometry as CIF:
```
data_MnMoOs3
_chemical_formula_sum 'Mn2 Mo2 Os6'
_cell_length_a 5.3020
_cell_length_b 8.3435
_cell_length_c 5.2406
_cell_angle_alpha 82.32
_cell_angle_beta 122.71
_cell_angle_gamma 63.18
_space_group_name_H-M_alt 'P 1'
_space_group_IT_number 1
loop_
_space_group_symop_operation_xyz
'x,y,z'
loop_
_atom_site_label
_atom_site_type_symbol
_atom_site_fract_x
_atom_site_fract_y
_atom_site_fract_z
_atom_site_occupancy
Mo1 Mo 0.3029 0.9435 0.3969 1
Mo2 Mo 0.6826 0.3580 0.0871 1
Os1 Os 0.2421 0.3179 0.1798 1
Os2 Os 0.4834 0.5380 0.4325 1
Os3 Os 0.8209 0.9361 0.8777 1
Os4 Os 0.5021 0.7636 0.0515 1
Os5 Os 0.1646 0.3655 0.6063 1
Os6 Os 0.7434 0.9837 0.3041 1
Mn1 Mn 0.9927 0.6508 0.7420 1
Mn2 Mn 0.9927 0.1508 0.7420 1
```

Symmetry: P-1
ρ: 15.93 g cm⁻³
Excess energy over the best structure of this formula in the dataset: 0 meV per atom
Formation enthalpy at 0 K: 0.4154 eV/atom



[6]
The following is a PBE-GGA calculation of a relaxed TiPtI3 crystal, from Alexandria via LeMat-Bulk.

Geometry as CIF:
```
data_TiPtI3
_chemical_formula_sum 'Ti1 Pt1 I3'
_cell_length_a 5.4688
_cell_length_b 5.4688
_cell_length_c 5.4688
_cell_angle_alpha 90.00
_cell_angle_beta 90.00
_cell_angle_gamma 90.00
_space_group_name_H-M_alt 'P 1'
_space_group_IT_number 1
loop_
_space_group_symop_operation_xyz
'x,y,z'
loop_
_atom_site_label
_atom_site_type_symbol
_atom_site_fract_x
_atom_site_fract_y
_atom_site_fract_z
_atom_site_occupancy
I1 I 0.5000 0.0000 0.0000 1
I2 I 0.0000 0.0000 0.5000 1
I3 I 0.0000 0.5000 0.0000 1
Ti1 Ti 0.5000 0.5000 0.5000 1
Pt1 Pt 0.0000 0.0000 0.0000 1
```

Symmetry: Pm-3m
ρ: 6.33 g cm⁻³
Excess energy over the best structure of this formula in the dataset: 80 meV per atom
E_form (uncorrected): 0.5716 eV/atom



[7]
The following is a PBE-GGA calculation of a relaxed La4MgCu crystal, from Alexandria via LeMat-Bulk.

Geometry as CIF:
```
data_La4MgCu
_chemical_formula_sum 'La4 Mg1 Cu1'
_cell_length_a 6.5050
_cell_length_b 6.5050
_cell_length_c 6.5050
_cell_angle_alpha 60.00
_cell_angle_beta 60.00
_cell_angle_gamma 60.00
_space_group_name_H-M_alt 'P 1'
_space_group_IT_number 1
loop_
_space_group_symop_operation_xyz
'x,y,z'
loop_
_atom_site_label
_atom_site_type_symbol
_atom_site_fract_x
_atom_site_fract_y
_atom_site_fract_z
_atom_site_occupancy
Mg1 Mg 0.7500 0.7500 0.7500 1
La1 La 0.3749 0.8752 0.3749 1
La2 La 0.3749 0.3749 0.3749 1
La3 La 0.3749 0.3749 0.8752 1
La4 La 0.8752 0.3749 0.3749 1
Cu1 Cu 0.0000 0.0000 0.0000 1
```

Symmetry: F-43m
ρ: 5.49 g cm⁻³
Excess energy over the best structure of this formula in the dataset: 540 meV per atom
Formation enthalpy at 0 K: 0.4802 eV/atom



[8]
The following is a PBE-GGA calculation of a relaxed LiScTi2N crystal, from Alexandria via LeMat-Bulk.

Geometry as CIF:
```
data_LiScTi2N
_chemical_formula_sum 'Li1 Sc1 Ti2 N1'
_cell_length_a 4.1507
_cell_length_b 4.1507
_cell_length_c 4.4637
_cell_angle_alpha 90.00
_cell_angle_beta 90.00
_cell_angle_gamma 90.00
_space_group_name_H-M_alt 'P 1'
_space_group_IT_number 1
loop_
_space_group_symop_operation_xyz
'x,y,z'
loop_
_atom_site_label
_atom_site_type_symbol
_atom_site_fract_x
_atom_site_fract_y
_atom_site_fract_z
_atom_site_occupancy
Li1 Li 0.5000 0.5000 0.5000 1
Ti1 Ti 0.5000 0.0000 0.0000 1
Ti2 Ti 0.0000 0.5000 0.0000 1
N1 N 0.0000 0.0000 0.0000 1
Sc1 Sc 0.0000 0.0000 0.5000 1
```

Symmetry: P4/mmm
ρ: 3.49 g cm⁻³
E_form (uncorrected): -0.5964 eV/atom



[9]
The following is a PBE-GGA calculation of a relaxed CsIn2HgPt crystal, from Alexandria via LeMat-Bulk.

Geometry as CIF:
```
data_CsIn2HgPt
_chemical_formula_sum 'Cs1 In2 Hg1 Pt1'
_cell_length_a 5.2132
_cell_length_b 5.2132
_cell_length_c 6.9560
_cell_angle_alpha 90.00
_cell_angle_beta 90.00
_cell_angle_gamma 90.00
_space_group_name_H-M_alt 'P 1'
_space_group_IT_number 1
loop_
_space_group_symop_operation_xyz
'x,y,z'
loop_
_atom_site_label
_atom_site_type_symbol
_atom_site_fract_x
_atom_site_fract_y
_atom_site_fract_z
_atom_site_occupancy
Pt1 Pt 0.0000 0.0000 0.0000 1
Hg1 Hg 0.5000 0.5000 0.5000 1
In1 In 0.5000 0.0000 0.0000 1
In2 In 0.0000 0.5000 0.0000 1
Cs1 Cs 0.0000 0.0000 0.5000 1
```

Symmetry: P4/mmm
ρ: 6.66 g cm⁻³
Excess energy over the best structure of this formula in the dataset: 54 meV per atom
Formation enthalpy at 0 K: -0.1771 eV/atom



[10]
The following is a PBE-GGA calculation of a relaxed LaPa2FeN5 crystal, from Alexandria via LeMat-Bulk.

Geometry as CIF:
```
data_LaPa2FeN5
_chemical_formula_sum 'La2 Pa4 Fe2 N10'
_cell_length_a 6.5425
_cell_length_b 6.5425
_cell_length_c 7.3042
_cell_angle_alpha 116.61
_cell_angle_beta 116.61
_cell_angle_gamma 90.00
_space_group_name_H-M_alt 'P 1'
_space_group_IT_number 1
loop_
_space_group_symop_operation_xyz
'x,y,z'
loop_
_atom_site_label
_atom_site_type_symbol
_atom_site_fract_x
_atom_site_fract_y
_atom_site_fract_z
_atom_site_occupancy
N1 N 0.7757 0.9929 0.2686 1
N2 N 0.5071 0.7243 0.7314 1
N3 N 0.9929 0.4929 0.2686 1
N4 N 0.2243 0.0071 0.7314 1
N5 N 0.7243 0.2243 0.7314 1
N6 N 0.2757 0.7757 0.2686 1
N7 N 0.5000 0.5000 0.0000 1
N8 N 0.0071 0.5071 0.7314 1
N9 N 0.4929 0.2757 0.2686 1
N10 N 0.0000 0.0000 0.0000 1
Pa1 Pa 0.6781 0.1781 0.0000 1
Pa2 Pa 0.3219 0.8219 0.0000 1
Pa3 Pa 0.8219 0.6781 0.0000 1
Pa4 Pa 0.1781 0.3219 0.0000 1
Fe1 Fe 0.7500 0.2500 0.5000 1
Fe2 Fe 0.2500 0.7500 0.5000 1
La1 La 0.2500 0.2500 0.5000 1
La2 La 0.7500 0.7500 0.5000 1
```

Symmetry: I4/mcm
ρ: 9.98 g cm⁻³
E_form (uncorrected): -1.2565 eV/atom



[11]
The following is a PBE-GGA calculation of a relaxed NaCeTlSn crystal, from Alexandria via LeMat-Bulk.

Geometry as CIF:
```
data_NaCeTlSn
_chemical_formula_sum 'Na1 Ce1 Tl1 Sn1'
_cell_length_a 5.4058
_cell_length_b 5.4058
_cell_length_c 5.4058
_cell_angle_alpha 60.00
_cell_angle_beta 60.00
_cell_angle_gamma 60.00
_space_group_name_H-M_alt 'P 1'
_space_group_IT_number 1
loop_
_space_group_symop_operation_xyz
'x,y,z'
loop_
_atom_site_label
_atom_site_type_symbol
_atom_site_fract_x
_atom_site_fract_y
_atom_site_fract_z
_atom_site_occupancy
Sn1 Sn 0.5000 0.5000 0.5000 1
Tl1 Tl 0.0000 0.0000 0.0000 1
Na1 Na 0.2500 0.2500 0.2500 1
Ce1 Ce 0.7500 0.7500 0.7500 1
```

Symmetry: F-43m
ρ: 7.23 g cm⁻³
Formation enthalpy at 0 K: -0.2844 eV/atom



[12]
The following is a PBE-GGA calculation of a relaxed Co3TeW crystal, from Alexandria via LeMat-Bulk.

Geometry as CIF:
```
data_Co3TeW
_chemical_formula_sum 'Co3 Te1 W1'
_cell_length_a 4.4976
_cell_length_b 4.4976
_cell_length_c 4.4976
_cell_angle_alpha 90.00
_cell_angle_beta 90.00
_cell_angle_gamma 90.00
_space_group_name_H-M_alt 'P 1'
_space_group_IT_number 1
loop_
_space_group_symop_operation_xyz
'x,y,z'
loop_
_atom_site_label
_atom_site_type_symbol
_atom_site_fract_x
_atom_site_fract_y
_atom_site_fract_z
_atom_site_occupancy
Co1 Co 0.0000 0.0000 0.5000 1
Co2 Co 0.0000 0.5000 0.0000 1
Co3 Co 0.5000 0.0000 0.0000 1
W1 W 0.0000 0.0000 0.0000 1
Te1 Te 0.5000 0.5000 0.5000 1
```

Symmetry: Pm-3m
ρ: 8.91 g cm⁻³
Excess energy over the best structure of this formula in the dataset: 0 meV per atom
E_form (uncorrected): 1.3592 eV/atom



[13]
The following is a PBE-GGA calculation of a relaxed CaYAlCu2 crystal, from Alexandria via LeMat-Bulk.

Geometry as CIF:
```
data_CaYAlCu2
_chemical_formula_sum 'Ca1 Y1 Al1 Cu2'
_cell_length_a 4.8258
_cell_length_b 5.3571
_cell_length_c 4.8258
_cell_angle_alpha 90.00
_cell_angle_beta 90.00
_cell_angle_gamma 90.00
_space_group_name_H-M_alt 'P 1'
_space_group_IT_number 1
loop_
_space_group_symop_operation_xyz
'x,y,z'
loop_
_atom_site_label
_atom_site_type_symbol
_atom_site_fract_x
_atom_site_fract_y
_atom_site_fract_z
_atom_site_occupancy
Cu1 Cu 0.0000 0.0000 0.5000 1
Cu2 Cu 0.5000 0.0000 0.0000 1
Ca1 Ca 0.0000 0.0000 0.0000 1
Y1 Y 0.5000 0.5000 0.5000 1
Al1 Al 0.0000 0.5000 0.0000 1
```

Symmetry: P4/mmm
ρ: 3.77 g cm⁻³
Formation enthalpy at 0 K: 0.7277 eV/atom